# NaIr2Os2

A relaxed structure of NaIr2Os2 (GGA-PBE, Alexandria).

abc: 4.090 4.090 6.109
angles: 70.44 70.44 90.00
Atoms (fractional coordinates):
Na 0.000 0.000 0.000
Ir 0.750 0.250 0.500
Ir 0.250 0.750 0.500
Os 0.393 0.393 0.214
Os 0.607 0.607 0.786

Properties
Fermi-level density of states ... 4.4 states/eV/f.u.
Uncorrected energy ... -38.67 eV per cell
Energy of formation ... 567 meV/atom